# CsBeV2Zn | the Alexandria database | GGA-PBE | relaxed
data_CsBeV2Zn
_cell_length_a 4.9152
_cell_length_b 4.9152
_cell_length_c 4.5238
_cell_angle_alpha 90.00
_cell_angle_beta 90.00
_cell_angle_gamma 90.00
_symmetry_space_group_name_H-M 'P 4/m m m'
_symmetry_Int_Tables_number 123
_symmetry_space_group_name_Hall '-P 4 2'
loop_
_atom_site_label
_atom_site_type_symbol
_atom_site_fract_x
_atom_site_fract_y
_atom_site_fract_z
_atom_site_occupancy
Cs1 Cs 0.0000 0.0000 0.0000 1
Be1 Be 0.5000 0.5000 0.5000 1
V1 V 0.0000 0.5000 0.5000 1
Zn1 Zn 0.5000 0.5000 0.0000 1
# Total DFT energy (no corrections)   -3.681 eV/atom
# Fermi-level density of states   7.0 states/eV/cell
# Formation energy from the elements   5.7 eV per formula unit

---

# HfMn2Zn | the Alexandria database | GGA-PBE | relaxed
data_HfMn2Zn
_cell_length_a 7.0008
_cell_length_b 7.0008
_cell_length_c 5.4348
_cell_angle_alpha 90.00
_cell_angle_beta 90.00
_cell_angle_gamma 90.00
_symmetry_space_group_name_H-M 'I -4 2 d'
_symmetry_Int_Tables_number 122
_symmetry_space_group_name_Hall 'I -4 2bw'
loop_
_atom_site_label
_atom_site_type_symbol
_atom_site_fract_x
_atom_site_fract_y
_atom_site_fract_z
_atom_site_occupancy
Hf1 Hf 0.0000 0.0000 0.0000 1
Mn1 Mn 0.2267 0.7500 0.6250 1
Zn1 Zn 0.0000 0.0000 0.5000 1
# Total DFT energy (no corrections)   -6.954 eV/atom
# Fermi-level density of states   13.6 states/eV/cell
# Formation energy from the elements   1.8 eV per formula unit

---

# KBF4 | the Alexandria database | GGA-PBE | relaxed
data_KBF4
_cell_length_a 8.6835
_cell_length_b 5.2655
_cell_length_c 5.3901
_cell_angle_alpha 90.00
_cell_angle_beta 128.23
_cell_angle_gamma 90.00
_symmetry_space_group_name_H-M 'C 1 2 1'
_symmetry_Int_Tables_number 5
loop_
_symmetry_equiv_pos_as_xyz
'x,y,z'
'-x,y,-z'
'x+1/2,y+1/2,z'
'-x+1/2,y+1/2,-z'
loop_
_atom_site_label
_atom_site_type_symbol
_atom_site_fract_x
_atom_site_fract_y
_atom_site_fract_z
_atom_site_occupancy
K1 K 0.0000 0.0000 0.0000 1
B1 B 0.0000 0.5012 0.5000 1
F1 F 0.1199 0.3457 0.7722 1
F2 F 0.1214 0.6560 0.4694 1
# Total DFT energy (no corrections)   -5.562 eV/atom
# E_form (uncorrected)   -3.02 eV per atom
# Fermi-level density of states   0.0 states/eV/cell

---

# Y2CdPd | the Alexandria database | GGA-PBE | relaxed
data_Y2CdPd
_cell_length_a 3.6095
_cell_length_b 3.6095
_cell_length_c 7.3727
_cell_angle_alpha 90.00
_cell_angle_beta 90.00
_cell_angle_gamma 90.00
_symmetry_space_group_name_H-M 'P 4/m m m'
_symmetry_Int_Tables_number 123
_symmetry_space_group_name_Hall '-P 4 2'
loop_
_atom_site_label
_atom_site_type_symbol
_atom_site_fract_x
_atom_site_fract_y
_atom_site_fract_z
_atom_site_occupancy
Y1 Y 0.0000 0.0000 0.2281 1
Cd1 Cd 0.5000 0.5000 0.5000 1
Pd1 Pd 0.5000 0.5000 0.0000 1
# Total DFT energy (no corrections)   -5.368 eV/atom
# Fermi-level density of states   3.3 states/eV/cell
# Formation energy from the elements   -2.4 eV per formula unit